First-principles (PBE+U) data for a relaxed CsDyCoO3 crystal, as listed in Alexandria via LeMat-Bulk.

Calculated values
Density of states at the Fermi level (states/eV/f.u.): 0.00
Total energy (eV per atom): -6.33
Volume (Å³/cell): 236.0
Total moment (μB/f.u.): 3.00

Lattice parameters (Å, degrees): 8.2419 3.5901 8.4603 90.00 109.48 90.00
Closest atoms and distances in Å follow each position.
Space group P2_1/m (No. 11)
Inequivalent atoms, fractional coordinates:
Cs 0.2163 0.2500 0.2307 x2  3 O 3.03-3.12
Dy 0.3421 0.7500 0.8583 x2  6 O 2.22-2.45
Co 0.0750 0.2500 0.6191 x2  4 O 1.91-2.03
O 0.1579 0.7500 0.5628 x2  3 Co 2.02-2.03
O 0.1602 0.2500 0.8583 x2  1 Co 1.91
O 0.4780 0.7500 0.1336 x2  3 Dy 2.22-2.31